No. 1
VASP calculation (PBE) on crystalline KCaAs3 at its relaxed geometry.

As for the polymorph energy (0 for the lowest one): 585 meV/atom. Its formation energy is 0.7845 eV/atom. Its space group is No. 221.

Cell: 5.3953 5.3953 5.3953 Å, 90.00 90.00 90.00°
Positions (direct):
As 0.0000 0.5000 0.0000
As 0.0000 0.0000 0.5000
Ca 0.5000 0.5000 0.5000
K 0.0000 0.0000 0.0000
As 0.5000 0.0000 0.0000

***

No. 2
VASP calculation (PBE) on crystalline K2Ca2As at its relaxed geometry.

Its formation energy is -0.2798 eV/atom. Its space group is No. 127.

Cell: 7.9024 7.9024 7.0802 Å, 90.00 90.00 90.00°
Positions (direct):
K 0.1798 0.6798 0.5000
K 0.6798 0.8202 0.5000
K 0.8202 0.3202 0.5000
K 0.3202 0.1798 0.5000
Ca 0.3223 0.8223 0.0000
As 0.5000 0.5000 0.0000
Ca 0.1777 0.3223 0.0000
Ca 0.8223 0.6777 0.0000
Ca 0.6777 0.1777 0.0000
As 0.0000 0.0000 0.0000

***

No. 3
VASP calculation (PBE) on crystalline K2CaAs at its relaxed geometry.

Its formation energy is -0.0843 eV/atom. Its space group is No. 69.

Cell: 7.0806 7.0806 4.7040 Å, 72.54 72.54 126.91°
Last column: magnetic moment on the atom in μB.
Positions (direct):
Ca 0.0000 0.5000 0.5000  0.05
As 0.5000 0.0000 0.5000  0.01
K 0.5000 0.5000 0.0000  0.02
K 0.0000 0.0000 0.0000  0.02

***

No. 4
VASP calculation (PBE) on crystalline K2CaAs at its relaxed geometry.

Its formation energy is -0.0336 eV/atom. Its space group is No. 47.

Cell: 4.2603 5.3079 6.5003 Å, 90.00 90.00 90.00°
Positions (direct):
Ca 0.5000 0.5000 0.7500
As 0.5000 0.5000 0.2500
K 0.0000 0.0000 0.4688
K 0.0000 0.0000 0.0312

***

No. 5
VASP calculation (PBE) on crystalline K2CaAs at its relaxed geometry.

Its formation energy is 0.1269 eV/atom. Its space group is No. 166.

Cell: 12.7771 12.7771 12.7771 Å, 17.75 17.75 17.75°
Positions (direct):
As 0.2500 0.2500 0.2500
Ca 0.7500 0.7500 0.7500
K 0.9791 0.9791 0.9791
K 0.5209 0.5209 0.5209

***

No. 6
VASP calculation (PBE) on crystalline K2CaAsN at its relaxed geometry.

Its space group is No. 123. Its formation energy without anion corrections is 0.590 eV/atom.

Cell: 6.9045 3.9501 6.9045 Å, 90.00 90.00 90.00°
Last column: magnetic moment on the atom in μB.
Positions (direct):
As 0.0000 0.0000 0.0000  0.05
K 0.0000 0.0000 0.5000  0.02
K 0.5000 0.0000 0.0000  0.01
N 0.0000 0.5000 0.0000  0.11
Ca 0.5000 0.5000 0.5000  0.07

***

no.,uncorrected energy (eV/atom)
1,-2.63
2,-2.45
3,-2.30
4,-2.25
5,-2.08
6,-2.84